(1)
The following is a DFT calculation (GGA-PBE) of crystalline EuBi2Au at its relaxed geometry.

POSCAR file:
```
EuBi2Au
1.0
4.9009 0.0000 0.0000
0.0000 4.9009 0.0000
0.0000 0.0000 4.5766
Eu Bi Au
1 2 1
Cartesian
0.0000 0.0000 0.0000 Eu
0.0000 2.4504 2.2883 Bi
2.4504 0.0000 2.2883 Bi
2.4504 2.4504 0.0000 Au
```

The calculation puts the energy above the lowest structure with this stoichiometry at 0 meV per atom. Its formation energy is -0.46 eV/atom. The symmetry is P4/mmm.

---

(2)
The following is a DFT calculation (GGA-PBE) of crystalline TbAl2Au8 at its relaxed geometry.

POSCAR file:
```
TbAl2Au8
1.0
5.7126 0.0000 0.0000
0.0000 5.7126 0.0000
0.0000 0.0000 7.6592
Tb Al Au
1 2 8
Cartesian
0.0000 0.0000 0.0000 Tb
0.0000 2.8563 3.8296 Al
2.8563 0.0000 3.8296 Al
1.4591 1.4591 2.1480 Au
1.4591 1.4591 5.5112 Au
1.4591 4.2534 2.1480 Au
1.4591 4.2534 5.5112 Au
4.2534 1.4591 2.1480 Au
4.2534 1.4591 5.5112 Au
4.2534 4.2534 2.1480 Au
4.2534 4.2534 5.5112 Au
```

The calculation puts the energy above the lowest structure with this stoichiometry at 189 meV per atom. Its formation energy is -0.22 eV/atom. The symmetry is P4/mmm.

---

(3)
The following is a DFT calculation (GGA-PBE) of crystalline K2Y2SnO6 at its relaxed geometry.

POSCAR file:
```
K2Y2SnO6
1.0
2.9482 -5.0740 0.0000
2.9482 5.0740 0.0000
-1.8564 0.0000 6.3889
K Y Sn O
2 2 1 6
Cartesian
2.9482 3.4082 0.0000 K
2.9482 -3.4082 0.0000 K
2.0200 1.6775 3.1945 Y
2.0200 -1.6775 3.1945 Y
-0.9282 0.0000 3.1945 Sn
-0.0166 1.6201 4.3059 O
0.8704 0.0000 2.0841 O
-0.0166 -1.6201 4.3059 O
4.0565 1.6201 2.0830 O
3.1696 0.0000 4.3049 O
4.0565 -1.6201 2.0830 O
```

The calculation puts the raw formation energy at -2.453 eV/atom. The symmetry is C2/m.

---

(4)
The following is a DFT calculation (GGA-PBE) of crystalline CeScPt6 at its relaxed geometry.

POSCAR file:
```
CeScPt6
1.0
4.0935 0.0000 0.0000
0.0000 4.0935 0.0000
0.0000 0.0000 8.1663
Ce Sc Pt
1 1 6
Cartesian
0.0000 0.0000 0.0000 Ce
0.0000 0.0000 4.0832 Sc
0.0000 2.0468 2.1041 Pt
0.0000 2.0468 6.0622 Pt
2.0468 0.0000 2.1041 Pt
2.0468 0.0000 6.0622 Pt
2.0468 2.0468 0.0000 Pt
2.0468 2.0468 4.0832 Pt
```

Its formation energy is -1.03 eV/atom. The symmetry is P4/mmm.

---

no.,magnetic moment (μB/cell),D(E_F) (states/eV/atom)
1,6.9,0.5776
2,0.0,0.3075
3,0.0,0.0000
4,0.0,0.3209